1.
Material: ScAg2Pt
Method: DFT, GGA-PBE
State: relaxed

Results
* D(E_F): 2.55 states/eV/f.u.
* DFT total energy: -18.984 eV per cell
* size of the total moment: 0.0 μB per formula unit
* formation energy: -0.227 eV per atom

abc: 5.0438 5.0438 3.0880
angles: 90.00 90.00 114.11
Fractional coordinates of all 4 atoms:
Ag 0.0000 0.0000 0.0000
Ag 0.5000 0.5000 0.0000
Pt 0.5000 0.0000 0.5000
Sc 0.0000 0.5000 0.5000



2.
Material: ScAg2Pt
Method: DFT, GGA-PBE
State: relaxed

Results
* D(E_F): 2.49 states/eV/f.u.
* DFT total energy: -36.620 eV per cell
* size of the total moment: 0.0 μB per formula unit
* formation energy: -0.059 eV per atom

abc: 7.7013 7.7013 6.0709
angles: 50.63 50.63 90.00
Fractional coordinates of all 8 atoms:
Sc 0.5000 0.5000 0.0000
Sc 0.2500 0.7500 0.5000
Ag 0.6435 0.1250 0.2500
Ag 0.1065 0.6250 0.2500
Ag 0.3750 0.3565 0.7500
Ag 0.8750 0.8935 0.7500
Pt 0.0000 0.0000 0.0000
Pt 0.7500 0.2500 0.5000



3.
Material: Sc6AgPt5
Method: DFT, GGA-PBE
State: relaxed

Results
* D(E_F): 8.25 states/eV/f.u.
* DFT total energy: -84.125 eV per cell
* size of the total moment: 0.0 μB per formula unit
* formation energy: -1.090 eV per atom

abc: 4.6825 8.1198 8.1198
angles: 119.80 106.76 106.76
Fractional coordinates of all 12 atoms:
Sc 0.2545 0.0851 0.4240
Sc 0.7455 0.5760 0.9149
Sc 0.7589 0.2589 0.2589
Sc 0.2411 0.7411 0.7411
Sc 0.2545 0.4240 0.0851
Sc 0.7455 0.9149 0.5760
Pt 0.5000 0.1603 0.8397
Pt 0.0000 0.3286 0.6714
Pt 0.5000 0.5000 0.5000
Pt 0.0000 0.6714 0.3286
Pt 0.5000 0.8397 0.1603
Ag 0.0000 0.0000 0.0000



4.
Material: ScAgPt
Method: DFT, GGA-PBE
State: relaxed

Results
* relative energy among the computed polymorphs: 229.4 meV per atom
* D(E_F): 1.39 states/eV/f.u.
* DFT total energy: -16.878 eV per cell
* size of the total moment: 0.0 μB per formula unit
* formation energy: -0.551 eV per atom

abc: 4.4919 4.4919 4.4919
angles: 60.00 60.00 60.00
Fractional coordinates of all 3 atoms:
Ag 0.5000 0.5000 0.5000
Pt 0.7500 0.7500 0.7500
Sc 0.0000 0.0000 0.0000



5.
Material: ScAg2Pt
Method: DFT, GGA-PBE
State: relaxed

Results
* D(E_F): 2.45 states/eV/f.u.
* DFT total energy: -19.312 eV per cell
* size of the total moment: 0.0 μB per formula unit
* formation energy: -0.309 eV per atom

abc: 4.7508 5.7350 3.0435
angles: 75.57 87.77 113.82
Fractional coordinates of all 4 atoms:
Ag 0.0000 0.0000 0.0000
Ag 0.5000 0.0000 0.5000
Pt 0.0000 0.5000 0.5000
Sc 0.5000 0.5000 0.0000



6.
Material: ScAg2Pt
Method: DFT, GGA-PBE
State: relaxed

Results
* D(E_F): 2.01 states/eV/f.u.
* DFT total energy: -19.353 eV per cell
* size of the total moment: 0.0 μB per formula unit
* formation energy: -0.320 eV per atom

abc: 3.0010 4.3149 5.4893
angles: 90.00 90.00 90.00
Fractional coordinates of all 4 atoms:
Ag 0.0000 0.0000 0.0034
Ag 0.0000 0.0000 0.4966
Pt 0.5000 0.5000 0.2500
Sc 0.5000 0.5000 0.7500



7.
Material: Sc4AgPt5
Method: DFT, GGA-PBE
State: relaxed

Results
* D(E_F): 3.37 states/eV/f.u.
* DFT total energy: -68.892 eV per cell
* size of the total moment: 0.0 μB per formula unit
* formation energy: -1.051 eV per atom

abc: 3.3168 3.3168 16.0645
angles: 90.00 90.00 90.00
Fractional coordinates of all 10 atoms:
Sc 0.0000 0.0000 0.1891
Sc 0.0000 0.0000 0.3965
Sc 0.0000 0.0000 0.6035
Sc 0.0000 0.0000 0.8109
Ag 0.0000 0.0000 0.0000
Pt 0.5000 0.5000 0.1021
Pt 0.5000 0.5000 0.2960
Pt 0.5000 0.5000 0.5000
Pt 0.5000 0.5000 0.7040
Pt 0.5000 0.5000 0.8979



8.
Material: Sc4AgPt
Method: DFT, GGA-PBE
State: relaxed

Results
* relative energy among the computed polymorphs: 0.0 meV per atom
* D(E_F): 6.84 states/eV/f.u.
* DFT total energy: -151.173 eV per cell
* size of the total moment: 0.0 μB per formula unit
* formation energy: -0.596 eV per atom

abc: 8.9481 8.9481 8.9481
angles: 60.00 60.00 60.00
Fractional coordinates of all 24 atoms:
Sc 0.3877 0.3877 0.3877
Sc 0.8368 0.3877 0.3877
Sc 0.3877 0.8368 0.3877
Sc 0.3877 0.3877 0.8368
Sc 0.5643 0.5643 0.9357
Sc 0.9357 0.9357 0.5643
Sc 0.5643 0.9357 0.5643
Sc 0.9357 0.5643 0.9357
Sc 0.9357 0.5643 0.5643
Sc 0.5643 0.9357 0.9357
Sc 0.1852 0.1852 0.8148
Sc 0.8148 0.8148 0.1852
Sc 0.1852 0.8148 0.1852
Sc 0.8148 0.1852 0.8148
Sc 0.8148 0.1852 0.1852
Sc 0.1852 0.8148 0.8148
Ag 0.1656 0.1656 0.1656
Ag 0.5031 0.1656 0.1656
Ag 0.1656 0.5031 0.1656
Ag 0.1656 0.1656 0.5031
Pt 0.6019 0.6019 0.6019
Pt 0.1944 0.6019 0.6019
Pt 0.6019 0.1944 0.6019
Pt 0.6019 0.6019 0.1944



9.
Material: ScAgPt
Method: DFT, GGA-PBE
State: relaxed

Results
* relative energy among the computed polymorphs: 403.6 meV per atom
* D(E_F): 1.03 states/eV/f.u.
* DFT total energy: -16.355 eV per cell
* size of the total moment: 0.0 μB per formula unit
* formation energy: -0.377 eV per atom

abc: 3.4376 3.4376 5.9653
angles: 90.00 90.00 120.00
Fractional coordinates of all 3 atoms:
Ag 0.0000 0.0000 0.0089
Pt 0.6667 0.3333 0.3563
Sc 0.3333 0.6667 0.6348



10.
Material: ScAgPt
Method: DFT, GGA-PBE
State: relaxed

Results
* relative energy among the computed polymorphs: 0.0 meV per atom
* D(E_F): 1.36 states/eV/f.u.
* DFT total energy: -35.131 eV per cell
* size of the total moment: 0.0 μB per formula unit
* formation energy: -0.781 eV per atom

abc: 3.5152 4.3762 7.1760
angles: 90.00 104.18 90.00
Fractional coordinates of all 6 atoms:
Sc 0.9123 0.7500 0.8246
Sc 0.0877 0.2500 0.1754
Ag 0.7594 0.2500 0.5188
Ag 0.2406 0.7500 0.4812
Pt 0.4288 0.2500 0.8575
Pt 0.5712 0.7500 0.1425



11.
Material: Sc2AgPt2
Method: DFT, GGA-PBE
State: relaxed

Results
* relative energy among the computed polymorphs: 261.6 meV per atom
* D(E_F): 3.11 states/eV/f.u.
* DFT total energy: -31.054 eV per cell
* size of the total moment: 0.0 μB per formula unit
* formation energy: -0.692 eV per atom

abc: 4.4567 4.4567 6.2459
angles: 69.10 69.10 90.00
Fractional coordinates of all 5 atoms:
Sc 0.7500 0.2500 0.5000
Sc 0.2500 0.7500 0.5000
Ag 0.0000 0.0000 0.0000
Pt 0.3816 0.3816 0.2368
Pt 0.6184 0.6184 0.7632



12.
Material: ScAg2Pt
Method: DFT, GGA-PBE
State: relaxed

Results
* D(E_F): 2.72 states/eV/f.u.
* DFT total energy: -19.448 eV per cell
* size of the total moment: 0.0 μB per formula unit
* formation energy: -0.343 eV per atom

abc: 5.0455 2.9893 4.8100
angles: 86.71 90.00 90.00
Fractional coordinates of all 4 atoms:
Ag 0.0000 0.0189 0.0036
Ag 0.0000 0.4811 0.4964
Pt 0.5000 0.2500 0.2500
Sc 0.5000 0.7500 0.7500



13.
Material: ScAg2Pt
Method: DFT, GGA-PBE
State: relaxed

Results
* D(E_F): 1.81 states/eV/f.u.
* DFT total energy: -20.034 eV per cell
* size of the total moment: 0.0 μB per formula unit
* formation energy: -0.490 eV per atom

abc: 5.0615 5.0615 4.1107
angles: 66.04 66.04 47.94
Fractional coordinates of all 4 atoms:
Ag 0.0000 0.0000 0.0000
Ag 0.7500 0.7500 0.7500
Pt 0.5000 0.5000 0.5000
Sc 0.2500 0.2500 0.2500



14.
Material: ScAg2Pt
Method: DFT, GGA-PBE
State: relaxed

Results
* D(E_F): 0.88 states/eV/f.u.
* DFT total energy: -20.090 eV per cell
* size of the total moment: 0.0 μB per formula unit
* formation energy: -0.504 eV per atom

abc: 3.4820 3.5422 6.8417
angles: 58.81 90.00 90.00
Fractional coordinates of all 4 atoms:
Ag 0.0000 0.9864 0.0136
Ag 0.5000 0.2560 0.2441
Pt 0.0000 0.4840 0.5160
Sc 0.5000 0.7736 0.7264



15.
Material: ScAgPt
Method: DFT, GGA-PBE
State: relaxed

Results
* relative energy among the computed polymorphs: 421.7 meV per atom
* D(E_F): 0.83 states/eV/f.u.
* DFT total energy: -16.301 eV per cell
* size of the total moment: 0.0 μB per formula unit
* formation energy: -0.359 eV per atom

abc: 4.4662 4.4662 4.4661
angles: 60.00 60.00 60.00
Fractional coordinates of all 3 atoms:
Ag 0.0000 0.0000 0.0000
Pt 0.5000 0.5000 0.5000
Sc 0.7500 0.7500 0.7500



16.
Material: ScAgPt
Method: DFT, GGA-PBE
State: relaxed

Results
* relative energy among the computed polymorphs: 56.8 meV per atom
* D(E_F): 1.90 states/eV/f.u.
* DFT total energy: -34.791 eV per cell
* size of the total moment: 0.0 μB per formula unit
* formation energy: -0.724 eV per atom

abc: 3.5414 3.5118 9.5147
angles: 68.52 90.00 90.00
Fractional coordinates of all 6 atoms:
Sc 0.0145 0.1743 0.9427
Sc 0.5146 0.2181 0.3929
Ag 0.0145 0.5250 0.5884
Ag 0.5145 0.8674 0.7471
Pt 0.0146 0.8455 0.2645
Pt 0.5145 0.5470 0.0711



17.
Material: Sc4AgPt
Method: DFT, GGA-PBE
State: relaxed

Results
* relative energy among the computed polymorphs: 216.4 meV per atom
* D(E_F): 7.83 states/eV/f.u.
* DFT total energy: -36.495 eV per cell
* size of the total moment: 0.0 μB per formula unit
* formation energy: -0.379 eV per atom

abc: 4.6175 4.6185 6.6287
angles: 89.98 89.99 90.00
Fractional coordinates of all 6 atoms:
Sc 0.5012 0.9970 0.2628
Sc 0.5014 0.9976 0.7335
Sc 0.0014 0.4975 0.7335
Sc 0.0012 0.4971 0.2628
Ag 0.5013 0.4973 0.9981
Pt 0.0013 0.9973 0.4982



18.
Material: Sc6Ag5Pt
Method: DFT, GGA-PBE
State: relaxed

Results
* D(E_F): 9.13 states/eV/f.u.
* DFT total energy: -63.672 eV per cell
* size of the total moment: 0.0 μB per formula unit
* formation energy: -0.449 eV per atom

abc: 4.7983 8.3436 8.3436
angles: 119.79 106.67 106.67
Fractional coordinates of all 12 atoms:
Sc 0.2423 0.0816 0.4034
Sc 0.7577 0.5966 0.9184
Sc 0.7371 0.2367 0.2367
Sc 0.2629 0.7633 0.7633
Sc 0.2423 0.4034 0.0816
Sc 0.7577 0.9184 0.5966
Pt 0.0000 0.0000 0.0000
Ag 0.5000 0.1765 0.8235
Ag 0.0000 0.3347 0.6653
Ag 0.5000 0.5000 0.5000
Ag 0.0000 0.6653 0.3347
Ag 0.5000 0.8235 0.1765



19.
Material: SmScAgPt
Method: DFT, GGA-PBE
State: relaxed

Results
* D(E_F): 2.44 states/eV/f.u.
* DFT total energy: -22.714 eV per cell
* size of the total moment: 0.0 μB per formula unit
* formation energy: -0.693 eV per atom

abc: 4.9532 4.9532 4.9532
angles: 60.00 60.00 60.00
Fractional coordinates of all 4 atoms:
Sc 0.5000 0.5000 0.5000
Ag 0.2500 0.2500 0.2500
Sm 0.0000 0.0000 0.0000
Pt 0.7500 0.7500 0.7500



20.
Material: YScAgPt
Method: DFT, GGA-PBE
State: relaxed

Results
* relative energy among the computed polymorphs: 13.1 meV per atom
* D(E_F): 2.47 states/eV/f.u.
* DFT total energy: -24.704 eV per cell
* size of the total moment: 0.0 μB per formula unit
* formation energy: -0.754 eV per atom

abc: 4.8976 4.8976 4.8976
angles: 60.00 60.00 60.00
Fractional coordinates of all 4 atoms:
Y 0.5000 0.5000 0.5000
Sc 0.0000 0.0000 0.0000
Ag 0.2500 0.2500 0.2500
Pt 0.7500 0.7500 0.7500



21.
Material: YScAgPt
Method: DFT, GGA-PBE
State: relaxed

Results
* relative energy among the computed polymorphs: 0.0 meV per atom
* D(E_F): 2.95 states/eV/f.u.
* DFT total energy: -24.756 eV per cell
* size of the total moment: 0.0 μB per formula unit
* formation energy: -0.767 eV per atom

abc: 3.4539 3.4539 7.0083
angles: 90.00 90.00 90.00
Fractional coordinates of all 4 atoms:
Y 0.5000 0.5000 0.5933
Sc 0.5000 0.5000 0.1208
Ag 0.0000 0.0000 0.8815
Pt 0.0000 0.0000 0.3323



22.
Material: Sc4ZnAgPt2
Method: DFT, GGA-PBE
State: relaxed

Results
* D(E_F): 5.08 states/eV/f.u.
* DFT total energy: -47.995 eV per cell
* size of the total moment: 0.0 μB per formula unit
* formation energy: -0.808 eV per atom

abc: 4.7158 4.7158 8.1811
angles: 73.25 73.25 60.00
Fractional coordinates of all 8 atoms:
Sc 0.3761 0.3761 0.8716
Sc 0.8741 0.8741 0.3777
Sc 0.1259 0.1259 0.6223
Sc 0.6239 0.6239 0.1284
Zn 0.5000 0.5000 0.5000
Ag 0.0000 0.0000 0.0000
Pt 0.7515 0.7515 0.7454
Pt 0.2485 0.2485 0.2546



23.
Material: Ag2PtSe
Method: DFT, GGA-PBE
State: relaxed

Results
* D(E_F): 1.71 states/eV/f.u.
* DFT total energy: -14.603 eV per cell
* size of the total moment: 0.0 μB per formula unit
* energy relative to the elements, uncorrected: 0.16 eV/atom

abc: 5.0366 5.0366 5.0366
angles: 131.01 131.01 71.80
Fractional coordinates of all 4 atoms:
Ag 0.0000 0.0000 0.0000
Ag 0.2500 0.7500 0.5000
Pt 0.5000 0.5000 0.0000
Se 0.7500 0.2500 0.5000



24.
Material: AgPt2Se
Method: DFT, GGA-PBE
State: relaxed

Results
* D(E_F): 2.13 states/eV/f.u.
* DFT total energy: -17.964 eV per cell
* size of the total moment: 0.0 μB per formula unit
* energy relative to the elements, uncorrected: 0.11 eV/atom

abc: 8.9736 8.9736 8.9736
angles: 19.06 19.06 19.06
Fractional coordinates of all 4 atoms:
Ag 0.7500 0.7500 0.7500
Pt 0.9957 0.9957 0.9957
Pt 0.5043 0.5043 0.5043
Se 0.2500 0.2500 0.2500



25.
Material: AgPtSe2
Method: DFT, GGA-PBE
State: relaxed

Results
* D(E_F): 2.47 states/eV/f.u.
* DFT total energy: -15.233 eV per cell
* size of the total moment: 0.0 μB per formula unit
* energy relative to the elements, uncorrected: 0.16 eV/atom

abc: 2.9703 2.9703 9.0812
angles: 90.00 90.00 90.14
Fractional coordinates of all 4 atoms:
Ag 0.0000 0.0000 0.5253
Pt 0.5000 0.5000 0.7557
Se 0.0000 0.0000 0.9315
Se 0.5000 0.5000 0.2874



26.
Material: Ag3Pt3Se8
Method: DFT, GGA-PBE
State: relaxed

Results
* D(E_F): 5.89 states/eV/f.u.
* DFT total energy: -57.670 eV per cell
* size of the total moment: 0.0 μB per formula unit
* energy relative to the elements, uncorrected: -0.22 eV/atom

abc: 8.0563 8.0563 8.0563
angles: 57.65 57.65 57.65
Fractional coordinates of all 14 atoms:
Ag 0.4258 0.4258 0.4258
Ag 0.5742 0.5742 0.5742
Ag 0.0000 0.0000 0.0000
Pt 0.5000 0.0000 0.0000
Pt 0.0000 0.5000 0.0000
Pt 0.0000 0.0000 0.5000
Se 0.7707 0.7707 0.7707
Se 0.1947 0.7583 0.7583
Se 0.7583 0.1947 0.7583
Se 0.7583 0.7583 0.1947
Se 0.2293 0.2293 0.2293
Se 0.8053 0.2417 0.2417
Se 0.2417 0.8053 0.2417
Se 0.2417 0.2417 0.8053



27.
Material: AgPt2Se
Method: DFT, GGA-PBE
State: relaxed

Results
* D(E_F): 2.61 states/eV/f.u.
* DFT total energy: -18.023 eV per cell
* size of the total moment: 0.0 μB per formula unit
* energy relative to the elements, uncorrected: 0.10 eV/atom

abc: 5.5960 5.5960 4.9063
angles: 63.73 63.73 31.64
Fractional coordinates of all 4 atoms:
Ag 0.2554 0.2554 0.2725
Pt 0.0212 0.0212 0.9066
Pt 0.7578 0.7578 0.7698
Se 0.4656 0.4656 0.5510